# Rb2VCoO4

An optimized crystal structure of Rb2VCoO4 (PBE+U, Alexandria).

Computed properties:
space group: Fddd, No. 70
spin magnetization: 4.00 μB per cell
volume: 19.5 A^3/atom
uncorrected energy: -5.86 eV per atom

abc: 12.0531 10.7031 6.5488
angles: 85.02 62.21 32.77
Positions (direct):
Rb  0.0464  0.0464  0.7036
Rb  0.2964  0.2964  0.9536
Rb  0.7036  0.7036  0.0464
Rb  0.9536  0.9536  0.2964
V  0.3750  0.3750  0.3750
V  0.6250  0.6250  0.6250
Co  0.1250  0.1250  0.1250
Co  0.8750  0.8750  0.8750
O  0.0229  0.6328  0.5558
O  0.2885  0.5558  0.6328
O  0.3672  0.9771  0.7115
O  0.4442  0.7115  0.9771
O  0.5558  0.2885  0.0229
O  0.6328  0.0229  0.2885
O  0.7115  0.4442  0.3672
O  0.9771  0.3672  0.4442